No. 1
The following is a DFT calculation (PBE) of a geometry-optimized La8Pr5In structure.

Properties
The calculation puts the density of states at the Fermi level at 24.2 states/eV per cell. Its space group is No. 5. The calculation puts the spin magnetization at 0.00 Bohr magnetons per cell. For the formation energy, the calculation gives 58 meV/atom.

a = 9.126 Å, b = 9.089 Å, c = 9.126 Å
α = 84.86°, β = 123.97°, γ = 122.19°
Positions (direct):
1 La 0.133 0.729 0.052
2 La 0.981 0.062 0.555
3 La 0.055 0.464 0.356
4 La 0.620 0.375 0.862
5 La 0.488 0.625 0.246
6 La 0.493 0.938 0.919
7 La 0.323 0.271 0.404
8 La 0.892 0.536 0.590
9 Pr 0.962 0.234 0.927
10 Pr 0.895 0.796 0.201
11 Pr 0.693 0.766 0.728
12 Pr 0.493 0.000 0.493
13 Pr 0.405 0.204 0.098
14 In 0.318 0.500 0.818

=====

No. 2
The following is a DFT calculation (PBE) of a geometry-optimized LaPrIn structure.

Properties
The calculation puts the density of states at the Fermi level at 4.8 states/eV per cell. Its space group is No. 107. As for the offset from the most stable computed form: 0.02 eV/f.u. The calculation puts the spin magnetization at 0.00 Bohr magnetons per cell. For the formation energy, the calculation gives -302 meV/atom.

a = 4.220 Å, b = 4.220 Å, c = 6.044 Å
α = 110.43°, β = 110.43°, γ = 90.00°
Positions (direct):
1 Pr 0.606 0.606 0.212
2 La 0.292 0.292 0.585
3 In 0.951 0.951 0.903

=====

No. 3
The following is a DFT calculation (PBE) of a geometry-optimized La5Pr3In3 structure.

Properties
The calculation puts the density of states at the Fermi level at 14.5 states/eV per cell. Its space group is No. 189. The calculation puts the spin magnetization at 0.00 Bohr magnetons per cell. For the formation energy, the calculation gives 51 meV/atom.

a = 3.524 Å, b = 11.152 Å, c = 11.152 Å
α = 120.00°, β = 90.00°, γ = 90.00°
Positions (direct):
1 La 0.500 0.667 0.333
2 La 0.500 0.333 0.667
3 La 0.500 0.342 0.000
4 La 0.500 0.658 0.658
5 La 0.500 0.000 0.342
6 Pr 0.500 0.831 0.000
7 Pr 0.500 0.169 0.169
8 Pr 0.500 0.000 0.831
9 In 0.000 0.587 0.000
10 In 0.000 0.000 0.587
11 In 0.000 0.413 0.413

=====

No. 4
The following is a DFT calculation (PBE) of a geometry-optimized LaPr5In6 structure.

Properties
The calculation puts the density of states at the Fermi level at 6.7 states/eV per cell. Its space group is No. 71. The calculation puts the spin magnetization at 0.00 Bohr magnetons per cell. For the formation energy, the calculation gives -497 meV/atom.

a = 5.534 Å, b = 9.589 Å, c = 9.589 Å
α = 120.06°, β = 106.77°, γ = 106.77°
Positions (direct):
1 Pr 0.500 0.164 0.836
2 Pr 0.000 0.332 0.668
3 Pr 0.500 0.500 0.500
4 Pr 0.000 0.668 0.332
5 Pr 0.500 0.836 0.164
6 In 0.253 0.085 0.421
7 In 0.747 0.579 0.915
8 In 0.756 0.256 0.256
9 In 0.244 0.744 0.744
10 In 0.253 0.421 0.085
11 In 0.747 0.915 0.579
12 La 0.000 0.000 0.000

=====

No. 5
The following is a DFT calculation (PBE) of a geometry-optimized La5Pr6In structure.

Properties
The calculation puts the density of states at the Fermi level at 17.0 states/eV per cell. Its space group is No. 71. The calculation puts the spin magnetization at 0.00 Bohr magnetons per cell. For the formation energy, the calculation gives -66 meV/atom.

a = 5.168 Å, b = 9.749 Å, c = 9.749 Å
α = 106.98°, β = 105.39°, γ = 105.39°
Positions (direct):
1 Pr 0.243 0.081 0.405
2 Pr 0.757 0.595 0.919
3 Pr 0.745 0.244 0.244
4 Pr 0.255 0.756 0.756
5 Pr 0.243 0.405 0.081
6 Pr 0.757 0.919 0.595
7 In 0.000 0.000 0.000
8 La 0.500 0.165 0.835
9 La 0.000 0.335 0.665
10 La 0.500 0.500 0.500
11 La 0.000 0.665 0.335
12 La 0.500 0.835 0.165

=====

No. 6
The following is a DFT calculation (PBE) of a geometry-optimized La5PrIn3 structure.

Properties
The calculation puts the density of states at the Fermi level at 24.0 states/eV per cell. Its space group is No. 193. The calculation puts the spin magnetization at 0.00 Bohr magnetons per cell. For the formation energy, the calculation gives -359 meV/atom.

a = 7.097 Å, b = 9.761 Å, c = 9.761 Å
α = 120.00°, β = 90.00°, γ = 90.00°
Positions (direct):
1 La 0.000 0.667 0.334
2 La 0.500 0.333 0.666
3 La 0.000 0.333 0.666
4 La 0.500 0.667 0.334
5 La 0.750 0.664 0.664
6 La 0.750 0.000 0.336
7 La 0.750 0.336 0.000
8 La 0.250 0.336 0.336
9 La 0.250 0.000 0.664
10 La 0.250 0.664 0.000
11 Pr 0.000 0.000 0.000
12 Pr 0.500 0.000 0.000
13 In 0.750 0.330 0.330
14 In 0.750 0.000 0.670
15 In 0.750 0.670 0.000
16 In 0.250 0.670 0.670
17 In 0.250 0.000 0.330
18 In 0.250 0.330 0.000

=====

No. 7
The following is a DFT calculation (PBE) of a geometry-optimized La12PrIn3 structure.

Properties
The calculation puts the density of states at the Fermi level at 23.6 states/eV per cell. Its space group is No. 123. The calculation puts the spin magnetization at 0.00 Bohr magnetons per cell. For the formation energy, the calculation gives -216 meV/atom.

a = 5.096 Å, b = 5.096 Å, c = 20.623 Å
α = 90.00°, β = 90.00°, γ = 90.00°
Positions (direct):
1 La 0.500 0.500 0.000
2 La 0.500 0.500 0.256
3 La 0.500 0.500 0.500
4 La 0.500 0.500 0.744
5 La 0.500 0.000 0.132
6 La 0.500 0.000 0.377
7 La 0.500 0.000 0.623
8 La 0.500 0.000 0.868
9 La 0.000 0.500 0.132
10 La 0.000 0.500 0.377
11 La 0.000 0.500 0.623
12 La 0.000 0.500 0.868
13 Pr 0.000 0.000 0.000
14 In 0.000 0.000 0.255
15 In 0.000 0.000 0.500
16 In 0.000 0.000 0.745

=====

No. 8
The following is a DFT calculation (PBE) of a geometry-optimized La6Pr4In structure.

Properties
The calculation puts the density of states at the Fermi level at 16.3 states/eV per cell. Its space group is No. 121. The calculation puts the spin magnetization at 0.00 Bohr magnetons per cell. For the formation energy, the calculation gives 102 meV/atom.

a = 9.622 Å, b = 9.622 Å, c = 9.622 Å
α = 59.87°, β = 138.67°, γ = 138.67°
Positions (direct):
1 La 0.000 0.775 0.453
2 La 0.000 0.453 0.775
3 La 0.321 0.547 0.547
4 La 0.500 0.500 0.000
5 La 0.679 0.225 0.225
6 La 0.500 0.000 0.500
7 Pr 0.000 0.639 0.997
8 Pr 0.358 0.361 0.361
9 Pr 0.000 0.997 0.639
10 Pr 0.642 0.003 0.003
11 In 0.000 0.000 0.000

=====

No. 9
The following is a DFT calculation (PBE) of a geometry-optimized La2Pr3In structure.

Properties
The calculation puts the density of states at the Fermi level at 14.8 states/eV per cell. Its space group is No. 15. As for the offset from the most stable computed form: 0.28 eV/f.u. The calculation puts the spin magnetization at 0.00 Bohr magnetons per cell. For the formation energy, the calculation gives -110 meV/atom.

a = 7.065 Å, b = 6.706 Å, c = 9.574 Å
α = 100.89°, β = 111.65°, γ = 90.00°
Positions (direct):
1 La 0.748 0.563 0.313
2 La 0.564 0.063 0.313
3 La 0.436 0.937 0.687
4 La 0.252 0.437 0.687
5 Pr 0.797 0.250 0.000
6 Pr 0.203 0.750 0.000
7 Pr 0.052 0.035 0.331
8 Pr 0.721 0.465 0.669
9 Pr 0.279 0.535 0.331
10 Pr 0.948 0.965 0.669
11 In 0.702 0.750 0.000
12 In 0.298 0.250 0.000

=====

No. 10
The following is a DFT calculation (PBE) of a geometry-optimized La3Pr8In4 structure.

Properties
The calculation puts the density of states at the Fermi level at 17.4 states/eV per cell. Its space group is No. 12. The calculation puts the spin magnetization at 0.00 Bohr magnetons per cell. For the formation energy, the calculation gives -5 meV/atom.

a = 11.677 Å, b = 9.378 Å, c = 9.378 Å
α = 86.87°, β = 128.84°, γ = 128.84°
Positions (direct):
1 La 0.500 0.500 0.000
2 La 0.500 0.000 0.500
3 La 0.500 0.500 0.500
4 Pr 0.502 0.236 0.236
5 Pr 0.000 0.742 0.258
6 Pr 0.992 0.246 0.246
7 Pr 0.500 0.759 0.241
8 Pr 0.500 0.241 0.759
9 Pr 0.008 0.754 0.754
10 Pr 0.000 0.258 0.742
11 Pr 0.498 0.764 0.764
12 In 0.500 0.000 0.000
13 In 0.000 0.500 0.000
14 In 0.000 0.000 0.000
15 In 0.000 0.000 0.500

=====

No. 11
The following is a DFT calculation (PBE) of a geometry-optimized LaPr4In3 structure.

Properties
The calculation puts the density of states at the Fermi level at 10.5 states/eV per cell. Its space group is No. 12. As for the offset from the most stable computed form: 0.00 eV/f.u. The calculation puts the spin magnetization at 0.86 Bohr magnetons per cell. For the formation energy, the calculation gives -354 meV/atom.

a = 5.078 Å, b = 5.089 Å, c = 12.533 Å
α = 127.56°, β = 101.69°, γ = 90.00°
Positions (direct):
1 La 0.500 0.000 0.000
2 Pr 0.634 0.901 0.267
3 Pr 0.366 0.099 0.733
4 Pr 0.866 0.598 0.732
5 Pr 0.134 0.402 0.268
6 In 0.000 0.500 0.000
7 In 0.249 0.248 0.498
8 In 0.751 0.752 0.502

=====

No. 12
The following is a DFT calculation (PBE) of a geometry-optimized La3Pr6In2 structure.

Properties
The calculation puts the density of states at the Fermi level at 17.7 states/eV per cell. Its space group is No. 139. The calculation puts the spin magnetization at 0.44 Bohr magnetons per cell. For the formation energy, the calculation gives 52 meV/atom.

a = 4.729 Å, b = 4.729 Å, c = 18.376 Å
α = 97.39°, β = 97.39°, γ = 90.00°
Positions (direct):
1 La 0.000 0.000 0.000
2 La 0.831 0.831 0.662
3 La 0.169 0.169 0.338
4 Pr 0.081 0.581 0.162
5 Pr 0.581 0.081 0.162
6 Pr 0.919 0.419 0.838
7 Pr 0.419 0.919 0.838
8 Pr 0.730 0.730 0.460
9 Pr 0.270 0.270 0.540
10 In 0.357 0.357 0.714
11 In 0.643 0.643 0.286

=====

> Among the records above, which one has the highest spin magnetization?

LaPr4In3